# 1
! GGA-PBE CeNdTlGe, relaxed; values from VASP
&SYSTEM
  ibrav = 0, nat = 4, ntyp = 4
/
ATOMIC_SPECIES
Ce 140.12 Ce.upf
Nd 144.24 Nd.upf
Tl 204.38 Tl.upf
Ge 72.64 Ge.upf
CELL_PARAMETERS angstrom
0.0000 3.7884 3.7884
3.7884 0.0000 3.7884
3.7884 3.7884 0.0000
ATOMIC_POSITIONS crystal
Ce 0.0000 0.0000 0.0000
Nd 0.5000 0.5000 0.5000
Tl 0.2500 0.2500 0.2500
Ge 0.7500 0.7500 0.7500
! Formation energy from the elements in kJ/mol of atoms: -39
! Crystal system: cubic
! Density of states at the Fermi level in states/eV per cell: 8.156
! Raw total energy in eV per atom: -4.821

# 2
! GGA-PBE CeNdZnGe, relaxed; values from VASP
&SYSTEM
  ibrav = 0, nat = 4, ntyp = 4
/
ATOMIC_SPECIES
Ce 140.12 Ce.upf
Nd 144.24 Nd.upf
Zn 65.41 Zn.upf
Ge 72.64 Ge.upf
CELL_PARAMETERS angstrom
0.0000 3.6528 3.6528
3.6528 0.0000 3.6528
3.6528 3.6528 0.0000
ATOMIC_POSITIONS crystal
Ce 0.0000 0.0000 0.0000
Nd 0.5000 0.5000 0.5000
Zn 0.7500 0.7500 0.7500
Ge 0.2500 0.2500 0.2500
! Formation energy from the elements in kJ/mol of atoms: -44
! Crystal system: cubic
! Density of states at the Fermi level in states/eV per cell: 7.951
! Raw total energy in eV per atom: -4.608

# 3
! GGA-PBE Ce2NdZn2Ge2, relaxed; values from VASP
&SYSTEM
  ibrav = 0, nat = 7, ntyp = 4
/
ATOMIC_SPECIES
Ce 140.12 Ce.upf
Nd 144.24 Nd.upf
Zn 65.41 Zn.upf
Ge 72.64 Ge.upf
CELL_PARAMETERS angstrom
2.1619 1.2482 9.3747
-2.1619 1.2482 9.3747
0.0000 -2.4963 9.3747
ATOMIC_POSITIONS crystal
Ce 0.1423 0.1423 0.1423
Ce 0.8577 0.8577 0.8577
Nd 0.0000 0.0000 0.0000
Zn 0.4085 0.4085 0.4085
Zn 0.5915 0.5915 0.5915
Ge 0.2634 0.2634 0.2634
Ge 0.7366 0.7366 0.7366
! Formation energy from the elements in kJ/mol of atoms: -42
! Crystal system: trigonal
! Density of states at the Fermi level in states/eV per cell: 10.584
! Raw total energy in eV per atom: -4.498

# 4
! GGA-PBE Ce2Nd2ZnGe4, relaxed; values from VASP
&SYSTEM
  ibrav = 0, nat = 9, ntyp = 4
/
ATOMIC_SPECIES
Ce 140.12 Ce.upf
Nd 144.24 Nd.upf
Zn 65.41 Zn.upf
Ge 72.64 Ge.upf
CELL_PARAMETERS angstrom
-3.5414 3.5414 4.3673
3.5414 -3.5414 4.3673
3.5414 3.5414 -4.3673
ATOMIC_POSITIONS crystal
Ce 0.1824 0.1824 0.0000
Ce 0.8176 0.8176 0.0000
Nd 0.2500 0.7500 0.5000
Nd 0.7500 0.2500 0.5000
Zn 0.5000 0.5000 0.0000
Ge 0.2558 0.2558 0.5115
Ge 0.2558 0.7442 0.0000
Ge 0.7442 0.2558 0.0000
Ge 0.7442 0.7442 0.4885
! Formation energy from the elements in kJ/mol of atoms: -31
! Crystal system: tetragonal
! Density of states at the Fermi level in states/eV per cell: 11.795
! Raw total energy in eV per atom: -4.897

# 5
! GGA-PBE CeNi3Ge2, relaxed; values from VASP
&SYSTEM
  ibrav = 0, nat = 18, ntyp = 3
/
ATOMIC_SPECIES
Ce 140.12 Ce.upf
Ni 58.69 Ni.upf
Ge 72.64 Ge.upf
CELL_PARAMETERS angstrom
7.8703 -1.9604 0.0000
7.8703 1.9604 0.0000
-2.8533 0.0000 9.0392
ATOMIC_POSITIONS crystal
Ce 0.0000 0.0000 0.0000
Ce 0.1579 0.1579 0.7005
Ce 0.8421 0.8421 0.2995
Ni 0.0461 0.0461 0.3437
Ni 0.2144 0.2144 0.3905
Ni 0.3236 0.3236 0.0313
Ni 0.3787 0.3787 0.8051
Ni 0.5000 0.5000 0.5000
Ni 0.6213 0.6213 0.1949
Ni 0.6764 0.6764 0.9687
Ni 0.7856 0.7856 0.6095
Ni 0.9539 0.9539 0.6563
Ge 0.2000 0.2000 0.1289
Ge 0.3599 0.3599 0.5485
Ge 0.4670 0.4670 0.2261
Ge 0.5330 0.5330 0.7739
Ge 0.6401 0.6401 0.4515
Ge 0.8000 0.8000 0.8711
! Formation energy from the elements in kJ/mol of atoms: -57
! Crystal system: monoclinic
! Density of states at the Fermi level in states/eV per cell: 16.690
! Raw total energy in eV per atom: -6.006

# 6
! GGA-PBE CeNi2Ge3, relaxed; values from VASP
&SYSTEM
  ibrav = 0, nat = 12, ntyp = 3
/
ATOMIC_SPECIES
Ce 140.12 Ce.upf
Ni 58.69 Ni.upf
Ge 72.64 Ge.upf
CELL_PARAMETERS angstrom
3.8950 -4.7673 0.0000
3.8950 4.7673 0.0000
0.0000 0.0000 5.7978
ATOMIC_POSITIONS crystal
Ce 0.1967 0.8033 0.7500
Ce 0.8033 0.1967 0.2500
Ni 0.3352 0.3352 0.0000
Ni 0.3352 0.3352 0.5000
Ni 0.6648 0.6648 0.0000
Ni 0.6648 0.6648 0.5000
Ge 0.0416 0.2772 0.7500
Ge 0.2772 0.0416 0.2500
Ge 0.3595 0.6405 0.2500
Ge 0.6405 0.3595 0.7500
Ge 0.7228 0.9584 0.7500
Ge 0.9584 0.7228 0.2500
! Formation energy from the elements in kJ/mol of atoms: -42
! Crystal system: orthorhombic
! Density of states at the Fermi level in states/eV per cell: 13.773
! Raw total energy in eV per atom: -5.662

# 7
! GGA-PBE CeNiGe2, relaxed; values from VASP
&SYSTEM
  ibrav = 0, nat = 4, ntyp = 3
/
ATOMIC_SPECIES
Ce 140.12 Ce.upf
Ni 58.69 Ni.upf
Ge 72.64 Ge.upf
CELL_PARAMETERS angstrom
1.4815 0.8553 9.7621
-1.4815 0.8553 9.7621
0.0000 -1.7107 9.7621
ATOMIC_POSITIONS crystal
Ce 0.0000 0.0000 0.0000
Ni 0.5000 0.5000 0.5000
Ge 0.1044 0.1044 0.1044
Ge 0.8956 0.8956 0.8956
! Formation energy from the elements in kJ/mol of atoms: 4
! Crystal system: trigonal
! Density of states at the Fermi level in states/eV per cell: 5.522
! Raw total energy in eV per atom: -5.200

# 8
! GGA-PBE Ce2Ni2Ge3, relaxed; values from VASP
&SYSTEM
  ibrav = 0, nat = 7, ntyp = 3
/
ATOMIC_SPECIES
Ce 140.12 Ce.upf
Ni 58.69 Ni.upf
Ge 72.64 Ge.upf
CELL_PARAMETERS angstrom
4.8917 -2.0758 0.0000
4.8917 2.0758 0.0000
-2.1580 0.0000 6.3264
ATOMIC_POSITIONS crystal
Ce 0.1526 0.1526 0.2893
Ce 0.8474 0.8474 0.7107
Ni 0.1446 0.1446 0.7700
Ni 0.8554 0.8554 0.2300
Ge 0.3876 0.3876 0.0571
Ge 0.5000 0.5000 0.5000
Ge 0.6124 0.6124 0.9429
! Formation energy from the elements in kJ/mol of atoms: -55
! Crystal system: monoclinic
! Density of states at the Fermi level in states/eV per cell: 8.440
! Raw total energy in eV per atom: -5.900